Record 1
VASP calculation (PBE) on crystalline Mg14CrB at its relaxed geometry.

a b c (Å): 6.2546 6.2546 9.7792
angles (deg): 90.00 90.00 120.00
Space group P-6m2 (No. 187)
Unique sites:
Mg (0.0000, 0.0000, 0.2473) (multiplicity 2)
Mg (0.0163, 0.5082, 0.2619) (multiplicity 6)
Mg (0.3261, 0.1631, 0.5000) (multiplicity 3)
Mg (0.3386, 0.1693, 0.0000) (multiplicity 3)
Cr (0.3333, 0.6667, 0.0000) (multiplicity 1)
B (0.3333, 0.6667, 0.5000) (multiplicity 1)

Summary:
Calculated formation energy: 0.238 eV/atom
VASP energy: -2.18 eV/atom
Offset from the most stable computed form: 17 kJ/mol of formula units

Record 2
VASP calculation (PBE) on crystalline MgCr2B at its relaxed geometry.

a b c (Å): 3.4559 3.4559 16.9181
angles (deg): 90.00 90.00 90.00
Space group I-42d (No. 122)
Unique sites:
Mg (0.0000, 0.0000, 0.0000) (multiplicity 4)
Cr (0.1847, 0.7500, 0.6250) (multiplicity 8)
B (0.0000, 0.0000, 0.5000) (multiplicity 4)

Summary:
Calculated formation energy: 0.866 eV/atom
VASP energy: -6.01 eV/atom
Offset from the most stable computed form: 54 kJ/mol of formula units

Record 3
VASP calculation (PBE) on crystalline Mg3CrB at its relaxed geometry.

a b c (Å): 4.4699 4.4699 4.4699
angles (deg): 90.00 90.00 90.00
Space group Pm-3m (No. 221)
Unique sites:
Mg (0.0000, 0.0000, 0.5000) (multiplicity 3)
Cr (0.5000, 0.5000, 0.5000) (multiplicity 1)
B (0.0000, 0.0000, 0.0000) (multiplicity 1)

Summary:
Calculated formation energy: 0.939 eV/atom
VASP energy: -3.28 eV/atom
Offset from the most stable computed form: 0 kJ/mol of formula units

Record 4
VASP calculation (PBE) on crystalline Mg14CrB at its relaxed geometry.

a b c (Å): 9.9045 6.3246 10.6903
angles (deg): 90.00 90.00 90.00
Space group Amm2 (No. 38)
Unique sites:
Mg (0.0000, 0.0000, 0.0000) (multiplicity 2)
Mg (0.0000, 0.0000, 0.4965) (multiplicity 2)
Mg (0.0000, 0.2493, 0.7435) (multiplicity 4)
Mg (0.2503, 0.0000, 0.8303) (multiplicity 4)
Mg (0.2539, 0.0000, 0.3244) (multiplicity 4)
Mg (0.2845, 0.2370, 0.5705) (multiplicity 8)
Mg (0.5000, 0.2447, 0.2747) (multiplicity 4)
Cr (0.5000, 0.0000, 0.9995) (multiplicity 2)
B (0.5000, 0.0000, 0.4700) (multiplicity 2)

Summary:
Calculated formation energy: 0.228 eV/atom
VASP energy: -2.19 eV/atom
Offset from the most stable computed form: 0 kJ/mol of formula units

Record 5
VASP calculation (PBE) on crystalline MgCrB4 at its relaxed geometry.

a b c (Å): 3.0592 3.0592 10.4818
angles (deg): 90.00 90.00 90.00
Space group I-4m2 (No. 119)
Unique sites:
Mg (0.0000, 0.0000, 0.0000) (multiplicity 2)
Cr (0.0000, 0.5000, 0.7500) (multiplicity 2)
B (0.0000, 0.0000, 0.4107) (multiplicity 4)
B (0.0000, 0.5000, 0.1682) (multiplicity 4)

Summary:
Calculated formation energy: -0.245 eV/atom
VASP energy: -6.57 eV/atom

Record 6
VASP calculation (PBE) on crystalline MgCr3B at its relaxed geometry.

a b c (Å): 4.8873 4.8873 4.8873
angles (deg): 90.00 90.00 90.00
Space group Pm-3m (No. 221)
Unique sites:
Mg (0.0000, 0.0000, 0.0000) (multiplicity 1)
Cr (0.0000, 0.0000, 0.5000) (multiplicity 3)
B (0.5000, 0.5000, 0.5000) (multiplicity 1)

Summary:
Calculated formation energy: 2.542 eV/atom
VASP energy: -4.89 eV/atom
Offset from the most stable computed form: 1037 kJ/mol of formula units

Record 7
VASP calculation (PBE) on crystalline Mg6CrB at its relaxed geometry.

a b c (Å): 4.7158 5.9585 10.7113
angles (deg): 90.00 90.00 90.00
Space group Amm2 (No. 38)
Unique sites:
Mg (0.0000, 0.0000, 0.0000) (multiplicity 2)
Mg (0.0000, 0.0000, 0.4949) (multiplicity 2)
Mg (0.0000, 0.2442, 0.2601) (multiplicity 4)
Mg (0.5000, 0.2448, 0.0983) (multiplicity 4)
Cr (0.5000, 0.0000, 0.8424) (multiplicity 2)
B (0.5000, 0.0000, 0.3081) (multiplicity 2)

Summary:
Calculated formation energy: 0.461 eV/atom
VASP energy: -2.77 eV/atom
Offset from the most stable computed form: 198 kJ/mol of formula units

Record 8
VASP calculation (PBE) on crystalline Mg3CrB at its relaxed geometry.

a b c (Å): 5.1356 5.1356 5.1356
angles (deg): 90.00 90.00 90.00
Space group Pm-3m (No. 221)
Unique sites:
Mg (0.0000, 0.0000, 0.5000) (multiplicity 3)
Cr (0.0000, 0.0000, 0.0000) (multiplicity 1)
B (0.5000, 0.5000, 0.5000) (multiplicity 1)

Summary:
Calculated formation energy: 1.602 eV/atom
VASP energy: -2.62 eV/atom
Offset from the most stable computed form: 320 kJ/mol of formula units

Record 9
VASP calculation (PBE) on crystalline Mg6CrB at its relaxed geometry.

a b c (Å): 3.2794 9.3238 10.1959
angles (deg): 90.00 90.00 90.00
Space group Amm2 (No. 38)
Unique sites:
Mg (0.0000, 0.0000, 0.0000) (multiplicity 2)
Mg (0.0000, 0.1675, 0.7234) (multiplicity 4)
Mg (0.5000, 0.0000, 0.2519) (multiplicity 2)
Mg (0.5000, 0.2366, 0.4723) (multiplicity 4)
Cr (0.0000, 0.0000, 0.4908) (multiplicity 2)
B (0.5000, 0.0000, 0.6065) (multiplicity 2)

Summary:
Calculated formation energy: 0.204 eV/atom
VASP energy: -3.03 eV/atom
Offset from the most stable computed form: 0 kJ/mol of formula units

Record 10
VASP calculation (PBE) on crystalline MgCr2B at its relaxed geometry.

a b c (Å): 5.7778 5.7778 5.7778
angles (deg): 90.00 90.00 90.00
Space group Fm-3m (No. 225)
Unique sites:
Mg (0.0000, 0.0000, 0.0000) (multiplicity 4)
Cr (0.2500, 0.2500, 0.2500) (multiplicity 8)
B (0.0000, 0.0000, 0.5000) (multiplicity 4)

Summary:
Calculated formation energy: 0.726 eV/atom
VASP energy: -6.15 eV/atom
Offset from the most stable computed form: 0 kJ/mol of formula units

Record 11
VASP calculation (PBE) on crystalline Mg2CrB2 at its relaxed geometry.

a b c (Å): 5.8703 5.8703 3.6579
angles (deg): 90.00 90.00 90.00
Space group P4/mbm (No. 127)
Unique sites:
Mg (0.1839, 0.3161, 0.0000) (multiplicity 4)
Cr (0.0000, 0.0000, 0.5000) (multiplicity 2)
B (0.0982, 0.5982, 0.5000) (multiplicity 4)

Summary:
Calculated formation energy: 0.268 eV/atom
VASP energy: -4.97 eV/atom